# 1
Na2GaPt | Alexandria via LeMat-Bulk | PBE | optimized geometry; N(E_F) = 3.36 states/eV per cell; ΔE_f = -38.5 meV/atom; SG = I-42d (122)
1.0
-1.929 1.929 10.691
1.929 -1.929 10.691
1.929 1.929 -10.691
Na Ga Pt
4 2 2
Direct
0.117 0.625 0.992
0.375 0.367 0.492
0.633 0.125 0.008
0.875 0.883 0.508
0.250 0.750 0.500
0.500 0.500 0.000
0.000 0.000 0.000
0.750 0.250 0.500

# 2
VCoIr | Alexandria via LeMat-Bulk | PBE | optimized geometry; relative energy among the computed polymorphs = 122 meV per atom; N(E_F) = 3.59 states/eV per cell; ΔE_f = -257.1 meV/atom; SG = P-6m2 (187)
1.0
4.088 0.000 0.000
-2.044 3.540 0.000
0.000 0.000 2.650
V Co Ir
1 1 1
Direct
0.000 0.000 0.000
0.667 0.333 0.000
0.333 0.667 0.500